[1]
A plane-wave DFT calculation with PBE was carried out for a relaxed structure of CdRh2N.

## Properties
energy relative to the elements, uncorrected = 0.127 eV per atom
distance to the lowest polymorph of the same formula = 0.0000 eV per atom
calculated density = 8.89 Mg/m³

Cell lengths 6.410, 6.410, 6.044 Å; angles 90.00, 90.00, 90.00 degrees
Space group I-42d (No. 122)
Asymmetric unit:
Cd1 0.000 0.000 0.000 [4 per cell]
Rh1 0.119 0.750 0.625 [8 per cell]
N1 0.000 0.000 0.500 [4 per cell]

---

[2]
A plane-wave DFT calculation with PBE was carried out for a relaxed structure of CdRh3N.

## Properties
energy relative to the elements, uncorrected = 0.179 eV per atom
calculated density = 9.11 Mg/m³

Cell lengths 10.828, 10.828, 10.828 Å; angles 90.00, 90.00, 90.00 degrees
Space group Fd-3m (No. 227, origin choice 2)
Asymmetric unit:
Cd1 0.000 0.000 0.000 [16 per cell]
Rh1 0.067 0.375 0.875 [48 per cell]
N1 0.000 0.000 0.500 [16 per cell]

---

[3]
A plane-wave DFT calculation with PBE was carried out for a relaxed structure of CdRh3N.

## Properties
energy relative to the elements, uncorrected = 0.377 eV per atom
calculated density = 8.99 Mg/m³

Cell lengths 5.419, 5.419, 10.952 Å; angles 90.00, 90.00, 90.00 degrees
Space group I-4m2 (No. 119)
Asymmetric unit:
Cd1 0.000 0.000 0.158 [4 per cell]
Rh1 0.000 0.273 0.393 [8 per cell]
Rh2 0.000 0.500 0.616 [4 per cell]
N1 0.000 0.000 0.500 [2 per cell]
N2 0.000 0.500 0.250 [2 per cell]

---

[4]
A plane-wave DFT calculation with PBE was carried out for a relaxed structure of CdRhN2.

## Properties
energy relative to the elements, uncorrected = 1.088 eV per atom
calculated density = 6.62 Mg/m³

Cell lengths 3.3666, 3.3666, 18.6664 Å; angles 90.00, 90.00, 120.00 degrees
Space group R-3m (No. 166, hexagonal axes)
Asymmetric unit:
Cd1 0.0000 0.0000 0.0000 [3 per cell]
Rh1 0.0000 0.0000 0.5000 [3 per cell]
N1 0.0000 0.0000 0.4036 [6 per cell]

---

[5]
A plane-wave DFT calculation with PBE was carried out for a relaxed structure of CdRh3N.

## Properties
energy relative to the elements, uncorrected = 0.222 eV per atom
calculated density = 9.78 Mg/m³

Cell lengths 9.868, 11.906, 5.064 Å; angles 90.00, 96.38, 90.00 degrees
Space group C2/c (No. 15)
Asymmetric unit:
Cd1 0.134 0.068 0.064 [8 per cell]
Rh1 0.120 0.313 0.044 [8 per cell]
Rh2 0.134 0.443 0.532 [8 per cell]
Rh3 0.136 0.186 0.554 [8 per cell]
N1 0.000 0.247 0.750 [4 per cell]
N2 0.000 0.398 0.250 [4 per cell]

---

[6]
A plane-wave DFT calculation with PBE was carried out for a relaxed structure of CdRh3N.

## Properties
energy relative to the elements, uncorrected = 0.408 eV per atom
calculated density = 9.16 Mg/m³

Cell lengths 8.996, 3.919, 9.422 Å; angles 90.00, 108.25, 90.00 degrees
Space group C2/m (No. 12)
Asymmetric unit:
Cd1 0.107 0.000 0.424 [4 per cell]
Rh1 0.016 0.500 0.848 [4 per cell]
Rh2 0.158 0.000 0.044 [4 per cell]
Rh3 0.188 0.000 0.774 [4 per cell]
N1 0.170 0.500 0.335 [4 per cell]

---

[7]
A plane-wave DFT calculation with PBE was carried out for a relaxed structure of CdRh3N.

## Properties
energy relative to the elements, uncorrected = 0.237 eV per atom
calculated density = 9.91 Mg/m³

Cell lengths 5.570, 9.725, 5.386 Å; angles 90.00, 90.00, 90.00 degrees
Space group Cmcm (No. 63)
Asymmetric unit:
Cd1 0.000 0.049 0.250 [4 per cell]
Rh1 0.000 0.500 0.000 [4 per cell]
Rh2 0.249 0.294 0.250 [8 per cell]
N1 0.000 0.345 0.750 [4 per cell]

---

[8]
A plane-wave DFT calculation with PBE was carried out for a relaxed structure of CdRu2RhN.

## Properties
energy relative to the elements, uncorrected = 0.171 eV per atom
calculated density = 10.37 Mg/m³

Cell lengths 4.063, 4.063, 4.185 Å; angles 90.00, 90.00, 90.00 degrees
Space group P4/mmm (No. 123)
Asymmetric unit:
Cd1 0.000 0.000 0.000 [1 per cell]
Ru1 0.000 0.500 0.500 [2 per cell]
Rh1 0.500 0.500 0.000 [1 per cell]
N1 0.500 0.500 0.500 [1 per cell]

---

> Number 4 is which compound?

CdRhN2